A plane-wave DFT calculation with PBE was carried out for crystalline EuPuPH at its relaxed geometry.

Computed properties:
Its space-group type is F-43m (216). The calculation puts the energy at -35.7 eV per cell. The calculation puts the magnetic moment at 13.0 Bohr magnetons per cell.

Cell: 4.803 4.803 4.803 Å, 60.00 60.00 60.00°
Element x y z (fractional)
1 P 0.250 0.250 0.250
2 Pu 0.000 0.000 0.000
3 H 0.750 0.750 0.750
4 Eu 0.500 0.500 0.500